The following is a DFT calculation (PBE-GGA) of crystalline La3SbBr at its relaxed geometry.

As for the energy above the most stable polymorph in this dataset: 0.230 eV per atom. The formation energy (no corrections) comes out at -0.5462 eV per atom. The total DFT energy (no corrections) is -23.309 eV per cell.

Cell: 5.5748 5.5748 5.5748 Å, 90.00 90.00 90.00°
Last column: nearest neighbours and their distance in Å.
Space group Pm-3m (No. 221)
Symmetry-distinct sites (fractional):
La  0.0000  0.0000  0.5000 x3  2 Br 2.79
Sb  0.5000  0.5000  0.5000 x1  12 La 3.94
Br  0.0000  0.0000  0.0000 x1  6 La 2.79

The following is a DFT calculation (PBE-GGA) of crystalline LaSb2Br at its relaxed geometry.

As for the energy above the most stable polymorph in this dataset: 0.089 eV per atom. The formation energy (no corrections) comes out at -0.8560 eV per atom. The total DFT energy (no corrections) is -18.269 eV per cell.

Cell: 5.0671 4.1553 7.5567 Å, 90.00 94.42 90.00°
Last column: nearest neighbours and their distance in Å.
Space group Pm (No. 6)
Symmetry-distinct sites (fractional):
La  0.0000  0.0000  0.0000 x1  2 Br 3.05, 4 Sb 3.32-3.33
Sb  0.5074  0.5000  0.0781 x1  2 Sb 2.85
Sb  0.5642  0.0000  0.3361 x1  2 Sb 2.85
Br  0.9721  0.5000  0.7040 x1  2 La 3.05

The following is a DFT calculation (PBE-GGA) of crystalline LaSbBr at its relaxed geometry.

As for the energy above the most stable polymorph in this dataset: 0.293 eV per atom. The formation energy (no corrections) comes out at -1.0233 eV per atom. The total DFT energy (no corrections) is -13.793 eV per cell.

Cell: 5.2381 5.2381 3.8139 Å, 90.00 90.00 120.00°
Last column: nearest neighbours and their distance in Å.
Space group P-6m2 (No. 187)
Symmetry-distinct sites (fractional):
La  0.0000  0.0000  0.0000 x1  3 Br 3.02
Sb  0.6667  0.3333  0.5000 x1  6 La 3.58, 6 Br 3.58, 2 Sb 3.81
Br  0.3333  0.6667  0.0000 x1  3 La 3.02

The following is a DFT calculation (PBE-GGA) of crystalline LaSb2Br at its relaxed geometry.

As for the energy above the most stable polymorph in this dataset: 0.341 eV per atom. The formation energy (no corrections) comes out at -0.6035 eV per atom. The total DFT energy (no corrections) is -34.518 eV per cell.

Cell: 5.9788 10.8792 3.6388 Å, 90.00 90.07 90.00°
Last column: nearest neighbours and their distance in Å.
Space group C2/m (No. 12)
Symmetry-distinct sites (fractional):
La  0.0000  0.0000  0.0000 x2  2 Br 2.99
Sb  0.2500  0.2500  0.5000 x4  2 Sb 2.99
Br  0.0000  0.5000  0.0000 x2  2 La 2.99

The following is a DFT calculation (PBE-GGA) of crystalline La3SbBr at its relaxed geometry.

As for the energy above the most stable polymorph in this dataset: 0.000 eV per atom. The formation energy (no corrections) comes out at -0.7764 eV per atom. The total DFT energy (no corrections) is -48.919 eV per cell.

Cell: 4.1736 9.0775 11.0051 Å, 71.68 89.94 76.73°
Last column: nearest neighbours and their distance in Å.
Space group P-1 (No. 2)
Symmetry-distinct sites (fractional):
La  0.0232  0.4553  0.1826 x2  1 Br 3.01, 2 Sb 3.23
La  0.1525  0.1942  0.5528 x2  1 Br 3.06, 3 Sb 3.16-3.17
La  0.3336  0.8327  0.9454 x2  3 Br 3.08-3.18, 1 Sb 3.18
Sb  0.3412  0.8172  0.6608 x2  6 La 3.16-3.23
Br  0.1508  0.1997  0.8297 x2  5 La 3.01-3.18

The following is a DFT calculation (PBE-GGA) of crystalline LaSbBr at its relaxed geometry.

As for the energy above the most stable polymorph in this dataset: 0.763 eV per atom. The formation energy (no corrections) comes out at -0.5530 eV per atom. The total DFT energy (no corrections) is -49.527 eV per cell.

Cell: 7.5920 7.5920 7.5920 Å, 90.00 90.00 90.00°
Last column: nearest neighbours and their distance in Å.
Space group F-43m (No. 216)
Symmetry-distinct sites (fractional):
La  0.0000  0.0000  0.0000 x4  4 Sb 3.29
Sb  0.2500  0.2500  0.2500 x4  4 La 3.29, 4 Br 3.29
Br  0.0000  0.0000  0.5000 x4  4 Sb 3.29

The following is a DFT calculation (PBE-GGA) of crystalline La4SbBr5 at its relaxed geometry.

The formation energy (no corrections) comes out at -1.6052 eV per atom. The total DFT energy (no corrections) is -96.496 eV per cell.

Cell: 18.6970 4.2610 9.1860 Å, 90.00 100.63 90.00°
Last column: nearest neighbours and their distance in Å.
Space group C2/m (No. 12)
Symmetry-distinct sites (fractional):
La  0.0026  0.0000  0.2435 x4  4 Br 3.05-3.18, 2 Sb 3.08
La  0.1697  0.5000  0.0670 x4  5 Br 3.09-3.16, 1 Sb 3.12
Sb  0.0000  0.5000  0.0000 x2  6 La 3.08-3.12
Br  0.0000  0.5000  0.5000 x2  4 La 3.18
Br  0.1649  0.0000  0.8113 x4  4 La 3.08-3.16
Br  0.1688  0.0000  0.3119 x4  3 La 3.05-3.10

The following is a DFT calculation (PBE-GGA) of crystalline LaSb2Br at its relaxed geometry.

As for the energy above the most stable polymorph in this dataset: 0.782 eV per atom. The formation energy (no corrections) comes out at -0.1622 eV per atom. The total DFT energy (no corrections) is -46.481 eV per cell.

Cell: 3.6383 3.6383 30.7467 Å, 90.00 90.00 120.00°
Last column: nearest neighbours and their distance in Å.
Space group R-3m (No. 166, hexagonal axes)
Symmetry-distinct sites (fractional):
La  0.0000  0.0000  0.0000 x3  6 Sb 3.37, 6 La 3.64
Sb  0.0000  0.0000  0.2478 x6  3 Br 3.26, 3 La 3.37, 6 Sb 3.64
Br  0.0000  0.0000  0.5000 x3  6 Sb 3.26, 6 Br 3.64

The following is a DFT calculation (PBE-GGA) of crystalline LaSb2Br at its relaxed geometry.

As for the energy above the most stable polymorph in this dataset: 0.167 eV per atom. The formation energy (no corrections) comes out at -0.7776 eV per atom. The total DFT energy (no corrections) is -71.822 eV per cell.

Cell: 4.4592 4.4592 25.1051 Å, 90.00 90.00 90.00°
Last column: nearest neighbours and their distance in Å.
Space group I-42d (No. 122)
Symmetry-distinct sites (fractional):
La  0.0000  0.0000  0.0000 x4  4 Br 3.15, 4 Sb 3.46
Sb  0.2094  0.2500  0.1250 x8  2 Sb 2.91
Br  0.0000  0.0000  0.5000 x4  4 La 3.15

The following is a DFT calculation (PBE-GGA) of crystalline La3SbBr2 at its relaxed geometry.

The formation energy (no corrections) comes out at -1.2940 eV per atom. The total DFT energy (no corrections) is -60.029 eV per cell.

Cell: 4.6380 6.2902 12.7076 Å, 90.00 90.00 90.00°
Last column: nearest neighbours and their distance in Å.
Space group Immm (No. 71)
Symmetry-distinct sites (fractional):
La  0.0000  0.0000  0.0000 x2  4 Br 3.10, 2 Sb 3.15
La  0.0000  0.0000  0.3304 x4  4 Br 3.15, 2 Sb 3.17
Sb  0.0000  0.5000  0.0000 x2  6 La 3.15-3.17
Br  0.0000  0.5000  0.3376 x4  6 La 3.10-3.15

The following is a DFT calculation (PBE-GGA) of crystalline LaSbSeBr2 at its relaxed geometry.

As for the energy above the most stable polymorph in this dataset: 0.396 eV per atom. The formation energy (no corrections) comes out at -0.3597 eV per atom. The total DFT energy (no corrections) is -17.679 eV per cell.

Cell: 5.5251 5.5251 5.6494 Å, 90.00 90.00 90.00°
Last column: nearest neighbours and their distance in Å.
Space group P4/mmm (No. 123)
Symmetry-distinct sites (fractional):
La  0.0000  0.0000  0.0000 x1  4 Se 3.91, 8 Br 3.95
Sb  0.5000  0.5000  0.5000 x1  4 Br 2.76, 2 Se 2.82
Se  0.5000  0.5000  0.0000 x1  2 Sb 2.82
Br  0.0000  0.5000  0.5000 x2  2 Sb 2.76

The following is a DFT calculation (PBE-GGA) of crystalline LaSbSe2Br at its relaxed geometry.

As for the energy above the most stable polymorph in this dataset: 0.042 eV per atom. The formation energy (no corrections) comes out at -0.4600 eV per atom. The total DFT energy (no corrections) is -19.992 eV per cell.

Cell: 5.8255 5.8255 5.6394 Å, 90.00 90.00 90.00°
Last column: nearest neighbours and their distance in Å.
Space group P4/mmm (No. 123)
Symmetry-distinct sites (fractional):
La  0.0000  0.0000  0.0000 x1  2 Br 2.82, 4 Se 2.91
Sb  0.5000  0.5000  0.5000 x1  8 Se 4.05, 4 Br 4.12
Se  0.0000  0.5000  0.0000 x2  2 La 2.91
Br  0.0000  0.0000  0.5000 x1  2 La 2.82

The lowest total DFT energy (no corrections) belongs to which entry?
La4SbBr5

Which value of formation energy (no corrections) does entry 1 give?
-0.5462 eV per atom

Which formula does entry 11 have?
LaSbSeBr2

Among the records above, which one has the highest total DFT energy (no corrections)?
number 3